VASP calculation (GGA+U) on MnNbIO2 after structural relaxation.

Cell lengths 4.038, 4.038, 6.023 Å; angles 90.00, 90.00, 90.00 degrees
Sites, in units of the cell vectors:
I1 0.000 0.000 0.500
Nb1 0.000 0.000 0.000
Mn1 0.500 0.500 0.500
O1 0.000 0.500 0.000
O2 0.500 0.000 0.000

Properties
Offset from the most stable computed form = 0 meV per atom
Space-group type = P4/mmm, No. 123
M_tot = 4.335 Bohr magnetons per cell